1.
Density functional theory data (meta-GGA SCAN) for a PBEsol-optimized structure of Ba2Cu.

Output
Density of states at the Fermi level = 5.27 states/eV/cell
Energy relative to the elements = 0.068 eV/atom
SG = Pnnm

Cell: 7.4066 7.6736 4.6547 Å, 90.00 90.00 90.00°
With the nearest neighbours (Å) after each atom.
Fractional coordinates of all 6 atoms:
1 Ba 0.2332 0.1718 0.0000  3 Cu 3.18-3.20
2 Ba 0.2668 0.6718 0.5000  3 Cu 3.18-3.20
3 Ba 0.7332 0.3282 0.5000  3 Cu 3.18-3.20
4 Ba 0.7668 0.8282 0.0000  3 Cu 3.18-3.20
5 Cu 0.0000 0.0000 0.5000  6 Ba 3.18-3.20
6 Cu 0.5000 0.5000 0.0000  6 Ba 3.18-3.20

***

2.
Density functional theory data (meta-GGA SCAN) for a PBEsol-optimized structure of TaCu3Si.

Output
Energy relative to the elements, uncorrected = 0.779 eV per atom
Density of states at the Fermi level = 2.25 states/eV/cell
SG = Pm-3m

Cell: 4.1948 4.1948 4.1948 Å, 90.00 90.00 90.00°
With the nearest neighbours (Å) after each atom.
Fractional coordinates of all 5 atoms:
1 Ta 0.0000 0.0000 0.0000  12 Cu 2.97
2 Cu 0.0000 0.5000 0.5000  2 Si 2.10
3 Cu 0.5000 0.0000 0.5000  2 Si 2.10
4 Cu 0.5000 0.5000 0.0000  2 Si 2.10
5 Si 0.5000 0.5000 0.5000  6 Cu 2.10

***

3.
Density functional theory data (meta-GGA SCAN) for a PBEsol-optimized structure of LaAlRu2.

Output
Density of states at the Fermi level = 2.14 states/eV/cell
Energy relative to the elements = 0.025 eV/atom
SG = C2/m

Cell: 5.2421 5.2421 2.9410 Å, 105.11 105.11 109.21°
With the nearest neighbours (Å) after each atom.
Fractional coordinates of all 4 atoms:
1 La 0.0000 0.0000 0.0000  4 Ru 2.65, 2 La 2.94
2 Al 0.5000 0.5000 0.0000  4 Ru 2.65, 2 Al 2.94
3 Ru 0.0000 0.5000 0.5000  2 La 2.65, 2 Al 2.65, 2 Ru 2.94
4 Ru 0.5000 0.0000 0.5000  2 La 2.65, 2 Al 2.65, 2 Ru 2.94